(1)
# Cs2BiHAu

A geometry-optimized Cs2BiHAu structure (GGA-PBE, the Alexandria database).

It has space group P4/mmm (No. 123), with a = 6.555 Å, b = 6.555 Å, c = 4.371 Å, α = 90.00°, β = 90.00° and γ = 90.00°. The asymmetric unit holds Cs at (0.000, 0.500, 0.000), Bi at (0.000, 0.000, 0.500), H at (0.000, 0.000, 0.000) and Au at (0.500, 0.500, 0.500).

The calculation puts the total energy at -12.42 eV per cell. The total magnetic moment is 0.1479 μB per atom. As for the density of states at the Fermi level: 0.788 states/eV/atom. As for the crystal system: tetragonal.


(2)
# Ce6PbSe5

A geometry-optimized Ce6PbSe5 structure (GGA-PBE, the Alexandria database).

It has space group C2/m (No. 12), with a = 7.388 Å, b = 12.798 Å, c = 7.405 Å, α = 90.00°, β = 109.48° and γ = 90.00°. The asymmetric unit holds Ce at (0.238, 0.000, 0.255), Ce at (0.240, 0.173, 0.740), Pb at (0.000, 0.500, 0.000), Se at (0.000, 0.000, 0.500), Se at (0.000, 0.168, 0.000) and Se at (0.000, 0.339, 0.500).

The value obtained for the uncorrected formation energy is -1.56 eV per atom. The calculation puts the total energy at -150.89 eV per cell. The total magnetic moment is 0.4880 μB per atom. As for the density of states at the Fermi level: 3.033 states/eV/atom. As for the crystal system: monoclinic.


Which value of total magnetic moment does entry 1 give? 0.1479 μB per atom


Which of these has the lowest total magnetic moment? Cs2BiHAu


The highest total magnetic moment belongs to which entry? Ce6PbSe5